Run a
Below is crystalline CaSiI2O at its relaxed geometry, with properties calculated at the PBE level.

Output
D(E_F) (states/eV/atom): 0.481

Cell: 5.946 5.946 3.665 Å, 90.00 90.00 90.00°
Space group P4/mmm (No. 123)
Symmetry-distinct sites (fractional):
Ca 0.000 0.000 0.000
Si 0.500 0.500 0.500
I 0.000 0.500 0.500
O 0.500 0.500 0.000

=====

Run b
Below is crystalline CaSiI2O at its relaxed geometry, with properties calculated at the PBE level.

Output
D(E_F) (states/eV/atom): 0.948

Cell: 6.067 6.067 4.111 Å, 90.00 90.00 90.00°
Space group P4/mmm (No. 123)
Symmetry-distinct sites (fractional):
Ca 0.000 0.000 0.000
Si 0.500 0.500 0.500
I 0.000 0.500 0.000
O 0.000 0.000 0.500

=====

run a has the most favorable energy; the next structure is 538 meV per atom above.

=====

Run a
Below is crystalline SrCaIO2 at its relaxed geometry, with properties calculated at the PBE level.

Output
D(E_F) (states/eV/atom): 0.502

Cell: 4.700 4.700 6.128 Å, 90.00 90.00 90.00°
Space group P4/mmm (No. 123)
Symmetry-distinct sites (fractional):
Sr 0.000 0.000 0.000
Ca 0.500 0.500 0.500
I 0.000 0.000 0.500
O 0.000 0.500 0.000

=====

Run b
Below is crystalline SrCaIO2 at its relaxed geometry, with properties calculated at the PBE level.

Output
D(E_F) (states/eV/atom): 1.027

Cell: 4.587 4.587 5.846 Å, 90.00 90.00 90.00°
Space group P4/mmm (No. 123)
Symmetry-distinct sites (fractional):
Sr 0.000 0.000 0.000
Ca 0.500 0.500 0.500
I 0.500 0.500 0.000
O 0.000 0.500 0.500

=====

run b has the most favorable energy; the next structure is 249 meV per atom above.

=====

Run a
Below is crystalline CaTaI2O at its relaxed geometry, with properties calculated at the PBE level.

Output
D(E_F) (states/eV/atom): 0.714

Cell: 5.900 5.900 3.907 Å, 90.00 90.00 90.00°
Space group P4/mmm (No. 123)
Symmetry-distinct sites (fractional):
Ca 0.000 0.000 0.000
Ta 0.500 0.500 0.500
I 0.000 0.500 0.500
O 0.500 0.500 0.000

=====

Run b
Below is crystalline CaTaI2O at its relaxed geometry, with properties calculated at the PBE level.

Output
D(E_F) (states/eV/atom): 0.956

Cell: 5.972 5.972 3.997 Å, 90.00 90.00 90.00°
Space group P4/mmm (No. 123)
Symmetry-distinct sites (fractional):
Ca 0.000 0.000 0.000
Ta 0.500 0.500 0.500
I 0.000 0.500 0.000
O 0.000 0.000 0.500

=====

run a has the most favorable energy; the next structure is 1011 meV per atom above.

=====

Run a
Below is crystalline CaTcI2O at its relaxed geometry, with properties calculated at the PBE level.

Output
D(E_F) (states/eV/atom): 0.877

Cell: 6.079 6.079 4.105 Å, 90.00 90.00 90.00°
Space group P4/mmm (No. 123)
Symmetry-distinct sites (fractional):
Ca 0.000 0.000 0.000
Tc 0.500 0.500 0.500
I 0.000 0.500 0.000
O 0.000 0.000 0.500

=====

Run b
Below is crystalline CaTcI2O at its relaxed geometry, with properties calculated at the PBE level.

Output
D(E_F) (states/eV/atom): 0.625

Cell: 5.719 5.719 3.811 Å, 90.00 90.00 90.00°
Space group P4/mmm (No. 123)
Symmetry-distinct sites (fractional):
Ca 0.000 0.000 0.000
Tc 0.500 0.500 0.500
I 0.000 0.500 0.500
O 0.500 0.500 0.000

=====

run b has the most favorable energy; the next structure is 714 meV per atom above.

=====

Run a
Below is crystalline CaTcIO2 at its relaxed geometry, with properties calculated at the PBE level.

Output
D(E_F) (states/eV/atom): 0.576

Cell: 4.363 4.363 6.144 Å, 90.00 90.00 90.00°
Space group P4/mmm (No. 123)
Symmetry-distinct sites (fractional):
Ca 0.000 0.000 0.000
Tc 0.500 0.500 0.500
I 0.000 0.000 0.500
O 0.000 0.500 0.000

=====

Run b
Below is crystalline CaTcIO2 at its relaxed geometry, with properties calculated at the PBE level.

Output
D(E_F) (states/eV/atom): 0.689

Cell: 4.054 4.054 5.651 Å, 90.00 90.00 90.00°
Space group P4/mmm (No. 123)
Symmetry-distinct sites (fractional):
Ca 0.000 0.000 0.000
Tc 0.500 0.500 0.500
I 0.500 0.500 0.000
O 0.000 0.500 0.500

=====

run b has the most favorable energy; the next structure is 917 meV per atom above.

=====

Run a
Below is crystalline CaTeI2O at its relaxed geometry, with properties calculated at the PBE level.

Output
D(E_F) (states/eV/atom): 1.429

Cell: 6.181 6.181 4.103 Å, 90.00 90.00 90.00°
Space group P4/mmm (No. 123)
Symmetry-distinct sites (fractional):
Ca 0.000 0.000 0.000
Te 0.500 0.500 0.500
I 0.000 0.500 0.000
O 0.000 0.000 0.500

=====

Run b
Below is crystalline CaTeI2O at its relaxed geometry, with properties calculated at the PBE level.

Output
D(E_F) (states/eV/atom): 0.353

Cell: 5.280 5.280 4.802 Å, 90.00 90.00 90.00°
Space group P4/mmm (No. 123)
Symmetry-distinct sites (fractional):
Ca 0.000 0.000 0.000
Te 0.500 0.500 0.000
I 0.000 0.500 0.500
O 0.500 0.500 0.500

=====

run a has the most favorable energy; the next structure is 52 meV per atom above.

=====

Run a
Below is crystalline CaTeI2O at its relaxed geometry, with properties calculated at the PBE level.

Output
D(E_F) (states/eV/atom): 0.313

Cell: 6.274 6.274 4.139 Å, 90.00 90.00 90.00°
Space group P4/mmm (No. 123)
Symmetry-distinct sites (fractional):
Ca 0.000 0.000 0.000
Te 0.500 0.500 0.500
I 0.000 0.500 0.500
O 0.500 0.500 0.000

=====

Run b
Below is crystalline CaTeI2O at its relaxed geometry, with properties calculated at the PBE level.

Output
D(E_F) (states/eV/atom): 1.992

Cell: 6.080 6.080 6.103 Å, 90.00 90.00 90.00°
Space group P4/mmm (No. 123)
Symmetry-distinct sites (fractional):
Ca 0.000 0.000 0.000
Te 0.000 0.000 0.500
I 0.000 0.500 0.000
O 0.500 0.500 0.500

=====

run a has the most favorable energy; the next structure is 695 meV per atom above.

=====

Run a
Below is crystalline CaTeIO2 at its relaxed geometry, with properties calculated at the PBE level.

Output
D(E_F) (states/eV/atom): 0.127

Cell: 4.316 4.316 6.175 Å, 90.00 90.00 90.00°
Space group P4/mmm (No. 123)
Symmetry-distinct sites (fractional):
Ca 0.000 0.000 0.000
Te 0.500 0.500 0.500
I 0.500 0.500 0.000
O 0.000 0.500 0.500

=====

Run b
Below is crystalline CaTeIO2 at its relaxed geometry, with properties calculated at the PBE level.

Output
D(E_F) (states/eV/atom): 0.996

Cell: 4.520 4.520 6.557 Å, 90.00 90.00 90.00°
Space group P4/mmm (No. 123)
Symmetry-distinct sites (fractional):
Ca 0.000 0.000 0.000
Te 0.500 0.500 0.500
I 0.000 0.000 0.500
O 0.000 0.500 0.000

=====

run a has the most favorable energy; the next structure is 309 meV per atom above.

=====

Run a
Below is crystalline CaTiIO2 at its relaxed geometry, with properties calculated at the PBE level.

Output
D(E_F) (states/eV/atom): 0.449

Cell: 4.065 4.065 5.572 Å, 90.00 90.00 90.00°
Space group P4/mmm (No. 123)
Symmetry-distinct sites (fractional):
Ca 0.000 0.000 0.000
Ti 0.500 0.500 0.500
I 0.500 0.500 0.000
O 0.000 0.500 0.500

=====

Run b
Below is crystalline CaTiIO2 at its relaxed geometry, with properties calculated at the PBE level.

Output
D(E_F) (states/eV/atom): 1.014

Cell: 4.373 4.373 5.894 Å, 90.00 90.00 90.00°
Space group P4/mmm (No. 123)
Symmetry-distinct sites (fractional):
Ca 0.000 0.000 0.000
Ti 0.500 0.500 0.500
I 0.000 0.000 0.500
O 0.000 0.500 0.000

=====

run a has the most favorable energy; the next structure is 1186 meV per atom above.

=====

Run a
Below is crystalline CaTlIO2 at its relaxed geometry, with properties calculated at the PBE level.

Output
D(E_F) (states/eV/atom): 1.977

Cell: 4.648 4.648 6.432 Å, 90.00 90.00 90.00°
Space group P4/mmm (No. 123)
Symmetry-distinct sites (fractional):
Ca 0.000 0.000 0.000
Tl 0.500 0.500 0.500
I 0.000 0.000 0.500
O 0.000 0.500 0.000

=====

Run b
Below is crystalline CaTlIO2 at its relaxed geometry, with properties calculated at the PBE level.

Output
D(E_F) (states/eV/atom): 0.317

Cell: 4.447 4.447 5.890 Å, 90.00 90.00 90.00°
Space group P4/mmm (No. 123)
Symmetry-distinct sites (fractional):
Ca 0.000 0.000 0.000
Tl 0.500 0.500 0.500
I 0.500 0.500 0.000
O 0.000 0.500 0.500

=====

run a has the most favorable energy; the next structure is 114 meV per atom above.